1.
8
Lattice="4.225 0.000 0.000 0.000 4.225 0.000 0.000 0.000 5.993" Properties=species:S:1:pos:R:3 comment="Li4GaPPd2 PBE optimized geometry" crystal_system=tetragonal sg="No. 115" energy_ev_per_atom=-3.89 pbc="T T T"
Ga 0.000 0.000 0.000
Li 2.113 2.113 0.000
Li 2.113 0.000 1.569
Li 0.000 0.000 2.997
Li 0.000 2.113 4.424
P 2.113 2.113 2.997
Pd 0.000 2.113 1.575
Pd 2.113 0.000 4.418

2.
3
Lattice="2.405 1.011 3.841 -2.234 0.858 3.979 0.205 -3.062 3.484" Properties=species:S:1:pos:R:3 comment="LiPaGa PBE optimized geometry" crystal_system=cubic sg="No. 216" energy_ev_per_atom=-4.54 magnetic_moment_mub_per_cell=1.0 pbc="T T T"
Ga 0.000 0.000 0.000
Li 0.094 -0.298 2.826
Pa 0.282 -0.894 8.478

3.
3
Lattice="-1.298 -4.011 2.158 0.124 -0.294 4.725 -4.038 -0.161 2.470" Properties=species:S:1:pos:R:3 comment="LiPaGa PBE optimized geometry" crystal_system=cubic sg="No. 216" energy_ev_per_atom=-4.05 magnetic_moment_mub_per_cell=1.2 pbc="T T T"
Ga -1.303 -1.117 2.338
Li -3.908 -3.350 7.014
Pa 0.000 0.000 0.000